Below is Pm4PrDy2Sc after structural relaxation, with properties calculated at the PBE level.

CIF file:
```
data_Pm4PrDy2Sc
_chemical_formula_sum 'Pm4 Pr1 Dy2 Sc1'
_cell_length_a 5.075
_cell_length_b 11.313
_cell_length_c 5.061
_cell_angle_alpha 63.44
_cell_angle_beta 90.00
_cell_angle_gamma 90.00
_space_group_name_H-M_alt 'P 1'
_space_group_IT_number 1
_space_group_name_Hall 'P 1'
loop_
_atom_site_label
_atom_site_fract_x
_atom_site_fract_y
_atom_site_fract_z
Pm1 0.000 0.748 0.752
Pm2 0.000 0.252 0.248
Pm3 0.500 0.748 0.251
Pm4 0.500 0.252 0.749
Pr1 0.500 0.500 0.000
Dy1 0.000 0.000 0.000
Dy2 0.500 0.000 0.500
Sc1 0.000 0.500 0.500
```

Results
symmetry = No. 47
calculated volume = 32.49 A^3/atom
uncorrected energy = -4.89 eV/atom
energy relative to the elements = 0.028 eV/atom
magnetic moment = 0.000 μB per formula unit
N(E_F) = 1.405 states/eV/atom